First-principles (PBE-GGA) data for crystalline PaCoTcP2 at its relaxed geometry, as listed in the Alexandria database.

CIF file:
```
data_PaCoTcP2
_chemical_formula_sum 'Pa2 Co2 Tc2 P4'
_cell_length_a 3.9358
_cell_length_b 3.9358
_cell_length_c 9.7336
_cell_angle_alpha 90.00
_cell_angle_beta 90.00
_cell_angle_gamma 90.00
_space_group_name_H-M_alt 'I -4 m 2'
_space_group_IT_number 119
_space_group_name_Hall 'I -4 -2'
loop_
_atom_site_label
_atom_site_type_symbol
_atom_site_fract_x
_atom_site_fract_y
_atom_site_fract_z
_atom_site_occupancy
Pa1 Pa 0.0000 0.0000 0.0000 1
Co1 Co 0.0000 0.5000 0.7500 1
Tc1 Tc 0.0000 0.5000 0.2500 1
P1 P 0.0000 0.0000 0.3781 1
```

Summary:
formation energy: -0.86 eV per atom
DOS(E_F): 0.79 states/eV per atom